DFT (PBE-GGA) results for a relaxed structure of MgCu3Pd6.

Results
E above lowest polymorph ... 77 meV/atom

Lattice parameters (Å, degrees): 5.098 8.658 8.658 128.50 90.00 90.00
Positions (direct):
1 Cu 0.140 0.418 0.582
2 Cu 0.505 0.930 0.699
3 Cu 0.505 0.301 0.070
4 Cu 0.005 0.699 0.930
5 Cu 0.005 0.070 0.301
6 Cu 0.640 0.582 0.418
7 Pd 0.551 0.255 0.362
8 Pd 0.051 0.362 0.255
9 Pd 0.051 0.745 0.638
10 Pd 0.821 0.544 0.095
11 Pd 0.321 0.095 0.544
12 Pd 0.780 0.005 0.995
13 Pd 0.551 0.638 0.745
14 Pd 0.287 0.692 0.308
15 Pd 0.821 0.905 0.456
16 Pd 0.787 0.308 0.692
17 Pd 0.321 0.456 0.905
18 Pd 0.280 0.995 0.005
19 Mg 0.524 0.844 0.156
20 Mg 0.024 0.156 0.844